# Er3Si5N9O, optimized geometry, DFT PBE
# **E**: -8.256 eV/atom
data_Er3Si5N9O
_space_group_name_H-M_alt 'P b c m'
_space_group_IT_number 57
_space_group_name_Hall '-P 2c 2b'
_cell_length_a 4.952
_cell_length_b 16.086
_cell_length_c 10.600
_cell_angle_alpha 90.00
_cell_angle_beta 90.00
_cell_angle_gamma 90.00
loop_
_atom_site_label
_atom_site_type_symbol
_atom_site_fract_x
_atom_site_fract_y
_atom_site_fract_z
Er1 Er 0.164 0.100 0.071
Er2 Er 0.204 0.204 0.750
Si1 Si 0.111 0.028 0.750
Si2 Si 0.247 0.670 0.250
Si3 Si 0.317 0.750 0.000
Si4 Si 0.394 0.577 0.603
N1 N 0.048 0.570 0.619
N2 N 0.091 0.575 0.250
N3 N 0.105 0.718 0.121
N4 N 0.445 0.063 0.750
N5 N 0.472 0.171 0.556
N6 N 0.500 0.000 0.000
O1 O 0.416 0.167 0.250

***

# ErTaNO, optimized geometry, DFT PBE
# **Excess energy over the best structure of this formula in the dataset**: 256.0 meV per atom
# **E**: -8.933 eV/atom
data_ErTaNO
_space_group_name_H-M_alt 'P 4/m m m'
_space_group_IT_number 123
_space_group_name_Hall '-P 4 2'
_cell_length_a 3.325
_cell_length_b 3.325
_cell_length_c 4.439
_cell_angle_alpha 90.00
_cell_angle_beta 90.00
_cell_angle_gamma 90.00
loop_
_atom_site_label
_atom_site_type_symbol
_atom_site_fract_x
_atom_site_fract_y
_atom_site_fract_z
Er1 Er 0.000 0.000 0.000
Ta1 Ta 0.500 0.500 0.500
N1 N 0.500 0.500 0.000
O1 O 0.000 0.000 0.500

***

# ErTaNO, optimized geometry, DFT PBE
# **Excess energy over the best structure of this formula in the dataset**: 261.9 meV per atom
# **E**: -8.927 eV/atom
data_ErTaNO
_space_group_name_H-M_alt 'P m c 21'
_space_group_IT_number 26
_space_group_name_Hall 'P 2c -2'
_cell_length_a 3.241
_cell_length_b 6.056
_cell_length_c 6.102
_cell_angle_alpha 90.00
_cell_angle_beta 90.00
_cell_angle_gamma 90.00
loop_
_atom_site_label
_atom_site_type_symbol
_atom_site_fract_x
_atom_site_fract_y
_atom_site_fract_z
Er1 Er 0.000 0.170 0.000
Ta1 Ta 0.500 0.333 0.467
N1 N 0.500 0.398 0.153
O1 O 0.000 0.165 0.647

***

# ErTaNO, optimized geometry, DFT PBE
# **Excess energy over the best structure of this formula in the dataset**: 197.5 meV per atom
# **E**: -8.992 eV/atom
data_ErTaNO
_space_group_name_H-M_alt 'P c a 21'
_space_group_IT_number 29
_space_group_name_Hall 'P 2c -2ac'
_cell_length_a 6.243
_cell_length_b 7.457
_cell_length_c 5.053
_cell_angle_alpha 90.00
_cell_angle_beta 90.00
_cell_angle_gamma 90.00
loop_
_atom_site_label
_atom_site_type_symbol
_atom_site_fract_x
_atom_site_fract_y
_atom_site_fract_z
Er1 Er 0.066 0.138 0.000
Ta1 Ta 0.131 0.659 0.004
N1 N 0.076 0.146 0.506
O1 O 0.039 0.569 0.613

***

# ErTaNO, optimized geometry, DFT PBE
# **Excess energy over the best structure of this formula in the dataset**: 0.0 meV per atom
# **E**: -9.189 eV/atom
data_ErTaNO
_space_group_name_H-M_alt 'P 4/n m m'
_space_group_IT_number 129
_cell_length_a 3.989
_cell_length_b 3.989
_cell_length_c 7.861
_cell_angle_alpha 90.00
_cell_angle_beta 90.00
_cell_angle_gamma 90.00
loop_
_space_group_symop_operation_xyz
'x,y,z'
'-x,-y,-z'
'-y+1/2,x,z'
'y+1/2,-x,-z'
'-x+1/2,-y+1/2,z'
'x+1/2,y+1/2,-z'
'y,-x+1/2,z'
'-y,x+1/2,-z'
'x+1/2,-y,-z'
'-x+1/2,y,z'
'-y,-x,-z'
'y,x,z'
'-x,y+1/2,-z'
'x,-y+1/2,z'
'y+1/2,x+1/2,-z'
'-y+1/2,-x+1/2,z'
loop_
_atom_site_label
_atom_site_type_symbol
_atom_site_fract_x
_atom_site_fract_y
_atom_site_fract_z
Er1 Er 0.250 0.250 0.126
Ta1 Ta 0.250 0.750 0.500
N1 N 0.250 0.250 0.585
O1 O 0.250 0.750 0.000

***

# ErTaNO, optimized geometry, DFT PBE
# **Excess energy over the best structure of this formula in the dataset**: 110.7 meV per atom
# **E**: -9.079 eV/atom
data_ErTaNO
_space_group_name_H-M_alt 'P m c 21'
_space_group_IT_number 26
_space_group_name_Hall 'P 2c -2'
_cell_length_a 3.396
_cell_length_b 5.980
_cell_length_c 5.762
_cell_angle_alpha 90.00
_cell_angle_beta 90.00
_cell_angle_gamma 90.00
loop_
_atom_site_label
_atom_site_type_symbol
_atom_site_fract_x
_atom_site_fract_y
_atom_site_fract_z
Er1 Er 0.000 0.169 0.000
Ta1 Ta 0.500 0.392 0.428
N1 N 0.000 0.203 0.397
O1 O 0.500 0.270 0.783